A plane-wave DFT calculation with PBE+U was carried out for an optimized crystal structure of MgMoN2F.

a = 4.072 Å, b = 4.072 Å, c = 3.602 Å
α = 90.00°, β = 90.00°, γ = 90.00°
Space group P4/mmm (No. 123)
Symmetry-distinct sites (fractional):
Mg 0.000 0.000 0.000 [1 per cell]
Mo 0.500 0.500 0.500 [1 per cell]
N 0.000 0.500 0.000 [2 per cell]
F 0.000 0.000 0.500 [1 per cell]

Properties
Fermi-level density of states: 1.50 states/eV/cell
Total DFT energy (no corrections): -5.195 eV/atom
Energy above the most stable polymorph in this dataset: 542 meV per atom